# CaVCdF6 (GGA+U, relaxed)
# raw total energy	-95.565	eV per cell
# spin magnetization	3.00	μB per formula unit
data_CaVCdF6
_symmetry_space_group_name_H-M 'P -3 1 c'
_symmetry_Int_Tables_number 163
_symmetry_space_group_name_Hall '-P 3 2c'
_cell_length_a 5.6850
_cell_length_b 5.6850
_cell_length_c 9.6550
_cell_angle_alpha 90.00
_cell_angle_beta 90.00
_cell_angle_gamma 120.00
loop_
_atom_site_label
_atom_site_type_symbol
_atom_site_fract_x
_atom_site_fract_y
_atom_site_fract_z
Ca1 Ca 0.0000 0.0000 0.0000
V1 V 0.3333 0.6667 0.2500
Cd1 Cd 0.3333 0.6667 0.7500
F1 F 0.0189 0.3472 0.1324